This record from Alexandria via LeMat-Bulk describes a relaxed TlGeBr2F crystal. The functional is PBE.

Cell: 5.688 5.688 4.285 Å, 90.00 90.00 90.00°
Element x y z (fractional)
Tl1 0.000 0.000 0.000
Ge1 0.500 0.500 0.500
Br1 0.000 0.500 0.500
Br2 0.500 0.000 0.500
F1 0.500 0.500 0.000

## Properties
- DFT total energy: -3.54 eV per atom
- Energy relative to the elements, uncorrected: -1100.5 meV/atom
- Fermi-level density of states: 0.0000 states/eV/atom

This record from Alexandria via LeMat-Bulk describes a relaxed Sr3Se crystal. The functional is PBE.

Cell: 6.860 6.860 6.860 Å, 116.09 116.09 116.09°
Element x y z (fractional)
Sr1 0.000 0.500 0.500
Sr2 0.500 0.000 0.500
Sr3 0.500 0.500 0.000
Se1 0.000 0.000 0.000

## Properties
- DFT total energy: -2.55 eV per atom
- Energy relative to the elements, uncorrected: -413.0 meV/atom
- E above lowest polymorph: 192 kJ/mol of formula units
- Fermi-level density of states: 0.5434 states/eV/atom

This record from Alexandria via LeMat-Bulk describes a relaxed LiTl2Hg crystal. The functional is PBE.

Cell: 5.851 5.851 5.851 Å, 133.92 133.92 67.22°
Element x y z (fractional)
Li1 0.000 0.000 0.000
Tl1 0.250 0.750 0.500
Tl2 0.500 0.500 0.000
Hg1 0.750 0.250 0.500

## Properties
- Calculated formation energy: -0.10 eV per atom
- DFT total energy: -1.83 eV per atom
- E above lowest polymorph: 14 kJ/mol of formula units
- Fermi-level density of states: 0.3922 states/eV/atom